No. 1
ZrTlSnS2: optimized geometry, PBE.

Summary:
DFT total energy ... -4.902 eV per atom
DOS at the Fermi energy ... 4.3 states/eV/cell
Total magnetization ... 0.000 μB/atom
Calculated volume ... 144.3 Å³/cell
Formation energy from raw total energies ... -0.267 eV/atom

Cell: 4.9225 5.9554 4.9225 Å, 90.00 90.00 90.00°
Positions (direct):
S  0.0000  0.0000  0.5000
S  0.5000  0.0000  0.0000
Sn  0.5000  0.5000  0.5000
Zr  0.0000  0.0000  0.0000
Tl  0.0000  0.5000  0.0000

=====

No. 2
ZrTl2SnS5: optimized geometry, PBE.

Summary:
DFT total energy ... -4.966 eV per atom
Total magnetization ... 0.000 μB/atom
Calculated volume ... 506.8 Å³/cell
Formation energy from raw total energies ... -0.753 eV/atom

Cell: 3.8356 9.4476 14.2821 Å, 90.00 90.00 101.71°
Positions (direct):
S  0.2942  0.5885  0.6474
S  0.4949  0.9899  0.7862
S  0.0536  0.1072  0.0353
S  0.6919  0.3838  0.9014
S  0.9464  0.8928  0.5353
S  0.7058  0.4115  0.1474
S  0.3081  0.6162  0.4014
S  0.5051  0.0101  0.2862
S  0.3442  0.6884  0.0064
S  0.6558  0.3116  0.5064
Tl  0.8744  0.7487  0.1671
Tl  0.8656  0.7311  0.8230
Tl  0.1256  0.2513  0.6671
Tl  0.1344  0.2689  0.3230
Zr  0.2177  0.4355  0.0323
Zr  0.7823  0.5645  0.5323
Sn  0.4396  0.8791  0.4249
Sn  0.5604  0.1209  0.9249

=====

No. 3
Tm6SnS4: optimized geometry, PBE.

Summary:
DFT total energy ... -5.864 eV per atom
DOS at the Fermi energy ... 13.5 states/eV/cell
Total magnetization ... 0.000 μB/atom
Calculated volume ... 491.0 Å³/cell
Formation energy from raw total energies ... -1.561 eV/atom

Cell: 3.8710 6.7075 19.7494 Å, 90.00 90.00 106.77°
Positions (direct):
S  0.5921  0.1842  0.8789
S  0.4079  0.8158  0.1211
S  0.1387  0.2774  0.4617
S  0.1387  0.2774  0.0383
S  0.5921  0.1842  0.6211
S  0.8613  0.7226  0.5383
S  0.8613  0.7226  0.9617
S  0.4079  0.8158  0.3789
Tm  0.9576  0.9153  0.8408
Tm  0.5000  0.0000  0.0000
Tm  0.2291  0.4582  0.9141
Tm  0.0424  0.0847  0.3408
Tm  0.7709  0.5418  0.0859
Tm  0.0424  0.0847  0.1592
Tm  0.9576  0.9153  0.6592
Tm  0.7709  0.5418  0.4141
Tm  0.3525  0.7051  0.2500
Tm  0.5000  0.0000  0.5000
Tm  0.6475  0.2949  0.7500
Tm  0.2291  0.4582  0.5859
Sn  0.6693  0.3386  0.2500
Sn  0.3307  0.6614  0.7500

=====

No. 4
Tm2SnS4: optimized geometry, PBE.

Summary:
DFT total energy ... -5.776 eV per atom
Total magnetization ... 0.000 μB/atom
Calculated volume ... 377.5 Å³/cell
Formation energy from raw total energies ... -1.568 eV/atom

Cell: 8.1109 8.1113 8.1122 Å, 119.99 120.00 90.00°
Positions (direct):
S  0.3886  0.6115  0.7773
S  0.8614  0.5843  0.7227
S  0.8615  0.1387  0.2773
S  0.4158  0.1387  0.2773
S  0.8342  0.6113  0.2227
S  0.3885  0.6113  0.2227
S  0.3886  0.1657  0.7773
S  0.8614  0.1385  0.7227
Tm  0.6250  0.3750  0.7500
Tm  0.6250  0.8750  0.2500
Tm  0.1250  0.3750  0.7500
Tm  0.6250  0.3750  0.2500
Sn  0.2500  0.7500  0.5000
Sn  0.0000  0.0000  0.0000

=====

No. 5
Tm3SnS: optimized geometry, PBE.

Summary:
DFT total energy ... -5.288 eV per atom
DOS at the Fermi energy ... 17.2 states/eV/cell
Total magnetization ... 0.000 μB/atom
Calculated volume ... 519.6 Å³/cell
Formation energy from raw total energies ... -0.979 eV/atom

Cell: 6.4604 8.8864 10.3096 Å, 118.62 90.00 90.00°
Positions (direct):
Sn  0.1790  0.0034  0.3641
Sn  0.3210  0.5034  0.8641
Sn  0.8210  0.9966  0.6359
Sn  0.6790  0.4966  0.1359
Tm  0.9253  0.1637  0.9629
Tm  0.9035  0.2895  0.3362
Tm  0.3428  0.0841  0.6943
Tm  0.5747  0.6637  0.4629
Tm  0.5965  0.7895  0.8362
Tm  0.6572  0.9159  0.3057
Tm  0.4253  0.3363  0.5371
Tm  0.4035  0.2105  0.1638
Tm  0.8428  0.4159  0.8057
Tm  0.0747  0.8363  0.0371
Tm  0.1572  0.5841  0.1943
Tm  0.0965  0.7105  0.6638
S  0.7334  0.0165  0.1015
S  0.2666  0.9835  0.8985
S  0.2334  0.4835  0.3985
S  0.7666  0.5165  0.6015

=====

No. 6
Tm7SnS5: optimized geometry, PBE.

Summary:
DFT total energy ... -5.923 eV per atom
DOS at the Fermi energy ... 13.7 states/eV/cell
Total magnetization ... 0.000 μB/atom
Calculated volume ... 570.5 Å³/cell
Formation energy from raw total energies ... -1.620 eV/atom

Cell: 3.8696 6.6880 23.0337 Å, 90.00 90.00 106.86°
Positions (direct):
Tm  0.1762  0.3530  0.3269
Tm  0.9052  0.8102  0.1129
Tm  0.3631  0.7258  0.5357
Tm  0.8244  0.6481  0.8270
Tm  0.6375  0.2754  0.4643
Tm  0.6375  0.2754  0.0356
Tm  0.0953  0.1909  0.8871
Tm  0.4873  0.9745  0.2500
Tm  0.1762  0.3530  0.1731
Tm  0.3630  0.7256  0.9644
Tm  0.5133  0.0266  0.7500
Tm  0.8244  0.6482  0.6731
Tm  0.9053  0.8103  0.3871
Tm  0.0953  0.1909  0.6129
Sn  0.8050  0.6101  0.2500
Sn  0.1956  0.3911  0.7500
S  0.7268  0.4533  0.5703
S  0.4558  0.9121  0.6387
S  0.7267  0.4532  0.9297
S  0.2738  0.5479  0.4297
S  0.5448  0.0892  0.3613
S  0.0003  0.0006  0.5000
S  0.4558  0.9120  0.8614
S  0.2738  0.5478  0.0703
S  0.5448  0.0891  0.1386
S  0.0003  0.0005  0.0000

=====

No. 7
TmSnS3: optimized geometry, PBE.

Summary:
DFT total energy ... -5.216 eV per atom
DOS at the Fermi energy ... 4.2 states/eV/cell
Total magnetization ... 0.000 μB/atom
Calculated volume ... 268.1 Å³/cell
Formation energy from raw total energies ... -1.045 eV/atom

Cell: 6.8030 6.7458 6.7458 Å, 120.00 90.00 90.00°
Positions (direct):
Tm  0.5000  0.0000  0.0000
Tm  0.0000  0.0000  0.0000
S  0.7500  0.7044  0.0324
S  0.2500  0.7044  0.6720
S  0.7500  0.9676  0.6720
S  0.7500  0.3279  0.2956
S  0.2500  0.9676  0.2956
S  0.2500  0.3279  0.0324
Sn  0.5000  0.6667  0.3333
Sn  0.0000  0.6667  0.3333

=====

No. 8
Tm5SnS5: optimized geometry, PBE.

Summary:
DFT total energy ... -5.995 eV per atom
DOS at the Fermi energy ... 2.4 states/eV/cell
Total magnetization ... 0.000 μB/atom
Calculated volume ... 262.9 Å³/cell
Formation energy from raw total energies ... -1.722 eV/atom

Cell: 5.6051 6.8289 7.9350 Å, 106.69 90.00 114.23°
Positions (direct):
Sn  0.0000  0.0000  0.0000
S  0.6681  0.3362  0.3345
S  0.0000  0.0000  0.5000
S  0.3267  0.6534  0.1581
S  0.6733  0.3466  0.8419
S  0.3319  0.6638  0.6655
Tm  0.8335  0.6669  0.1814
Tm  0.1665  0.3331  0.8186
Tm  0.1701  0.3401  0.3466
Tm  0.8299  0.6599  0.6534
Tm  0.5000  0.0000  0.0000

=====

No. 9
Tm6SnS5: optimized geometry, PBE.

Summary:
DFT total energy ... -5.976 eV per atom
DOS at the Fermi energy ... 3.6 states/eV/cell
Total magnetization ... 0.000 μB/atom
Calculated volume ... 259.3 Å³/cell
Formation energy from raw total energies ... -1.687 eV/atom

Cell: 6.8441 6.8115 6.8107 Å, 60.00 80.43 70.58°
Positions (direct):
S  0.5000  0.1621  0.6758
S  0.0000  0.6679  0.6643
S  0.0000  0.3321  0.3357
S  0.5000  0.8379  0.3242
S  0.5000  0.5000  0.0000
Tm  0.7411  0.7396  0.0000
Tm  0.2615  0.9130  0.6534
Tm  0.2615  0.5664  0.3466
Tm  0.7385  0.0870  0.3466
Tm  0.7385  0.4336  0.6534
Tm  0.2589  0.2604  0.0000
Sn  0.0000  0.0000  0.0000

=====

No. 10
Tm2SnS6: optimized geometry, PBE.

Summary:
DFT total energy ... -5.202 eV per atom
DOS at the Fermi energy ... 8.5 states/eV/cell
Total magnetization ... 0.161 μB/atom
Calculated volume ... 393.3 Å³/cell
Formation energy from raw total energies ... -1.012 eV/atom

Cell: 6.5885 6.9899 8.5885 Å, 90.00 96.14 90.00°
Site moments in Bohr magnetons follow the coordinates.
Positions (direct):
S  0.8237  0.9676  0.2263  0.16
S  0.1763  0.0324  0.7737  0.16
S  0.3189  0.8273  0.4243  0.05
S  0.6824  0.1694  0.9428  0.24
S  0.8189  0.6727  0.9243  0.05
S  0.8176  0.6694  0.5572  0.24
S  0.1811  0.3273  0.0757  0.05
S  0.3176  0.8306  0.0572  0.24
S  0.3237  0.5324  0.7263  0.16
S  0.6811  0.1727  0.5757  0.05
S  0.1824  0.3306  0.4428  0.24
S  0.6763  0.4676  0.2737  0.16
Sn  0.0000  0.0000  0.5000  0.02
Sn  0.5000  0.5000  0.0000  0.02
Tm  0.9620  0.3718  0.7708  0.02
Tm  0.4620  0.1282  0.2708  0.02
Tm  0.0380  0.6282  0.2292  0.02
Tm  0.5380  0.8718  0.7292  0.02

=====

No. 11
USn2S5: optimized geometry, PBE.

Summary:
DFT total energy ... -5.733 eV per atom
Total magnetization ... 0.000 μB/atom
Calculated volume ... 450.5 Å³/cell
Formation energy from raw total energies ... -0.741 eV/atom

Cell: 7.0110 8.0378 9.8346 Å, 112.70 90.00 115.86°
Positions (direct):
S  0.7602  0.1508  0.4593
S  0.3197  0.3492  0.6452
S  0.2398  0.8492  0.5407
S  0.3906  0.1508  0.9593
S  0.0295  0.3492  0.1452
S  0.9705  0.6508  0.8548
S  0.6094  0.8492  0.0407
S  0.6803  0.6508  0.3548
S  0.8515  0.0000  0.7500
S  0.1485  0.0000  0.2500
U  0.0000  0.0000  0.0000
U  0.0000  0.0000  0.5000
Sn  0.6412  0.2357  0.2153
Sn  0.5945  0.2357  0.7153
Sn  0.4055  0.7643  0.2847
Sn  0.3588  0.7643  0.7847

=====

No. 12
U3SnS6: optimized geometry, PBE.

Summary:
DFT total energy ... -7.413 eV per atom
DOS at the Fermi energy ... 31.1 states/eV/cell
Total magnetization ... 0.303 μB/atom
Calculated volume ... 489.7 Å³/cell
Formation energy from raw total energies ... -1.150 eV/atom

Cell: 3.9972 11.1035 11.5871 Å, 107.77 90.00 90.00°
Site moments in Bohr magnetons follow the coordinates.
Positions (direct):
U  0.2500  0.8446  0.9129  -2.24
U  0.7500  0.1554  0.0871  -2.24
U  0.7500  0.6742  0.4925  2.50
U  0.2500  0.3258  0.5075  2.50
U  0.7500  0.4448  0.8341  2.46
U  0.2500  0.5552  0.1659  2.46
S  0.7500  0.3906  0.0523  -0.04
S  0.2500  0.6094  0.9477  -0.04
S  0.2500  0.2845  0.7303  -0.07
S  0.2500  0.5100  0.3836  -0.07
S  0.2500  0.0877  0.9214  0.07
S  0.2500  0.2008  0.2527  0.03
S  0.7500  0.7992  0.7473  0.03
S  0.7500  0.7155  0.2697  -0.07
S  0.7500  0.4900  0.6164  -0.07
S  0.7500  0.1301  0.4729  -0.03
S  0.7500  0.9123  0.0786  0.07
S  0.2500  0.8699  0.5271  -0.03
Sn  0.7500  0.0279  0.6720  0.02
Sn  0.2500  0.9721  0.3280  0.02